Crystalline LaTmPb2 at its relaxed geometry, computed with PBE.

a = 4.0944 Å, b = 4.0944 Å, c = 7.1013 Å
α = 90.00°, β = 90.00°, γ = 90.00°
Last column: nearest neighbours and their distance in Å.
Atoms (fractional coordinates):
La 0.5000 0.5000 0.0000  8 Pb 3.48, 2 Tm 3.55
Pb 0.0000 0.0000 0.7271  1 Pb 3.23, 4 Tm 3.31, 4 La 3.48
Pb 0.0000 0.0000 0.2729  1 Pb 3.23, 4 Tm 3.31, 4 La 3.48
Tm 0.5000 0.5000 0.5000  8 Pb 3.31, 2 La 3.55

Calculated values
Density of states at the Fermi level: 0.993 states/eV/atom
VASP energy: -4.661 eV/atom
Calculated formation energy: -0.46 eV per atom